A plane-wave DFT calculation with PBE was carried out for crystalline TcHgAs2 at its relaxed geometry.

Computed properties:
ρ = 10.35 g cm⁻³
Fermi-level density of states = 3.1 states/eV/cell
space-group type = No. 123
total DFT energy (no corrections) = -4.414 eV/atom

POSCAR file:
```
TcHgAs2
1.0
4.589 0.000 0.000
0.000 4.589 0.000
0.000 0.000 3.416
Tc Hg As
1 1 2
Cartesian
0.000 0.000 0.000
2.295 2.295 0.000
0.000 2.295 1.708
2.295 0.000 1.708
```